First-principles (PBE-GGA) data for an optimized crystal structure of Li2Np2Al15, as listed in Alexandria via LeMat-Bulk.

The structure in CIF format:
```
data_Li2Np2Al15
_chemical_formula_sum 'Li6 Np6 Al45'
_symmetry_space_group_name_H-M 'R -3 m'
_symmetry_Int_Tables_number 166
_symmetry_space_group_name_Hall '-R 3 2"'
_cell_length_a 9.2654
_cell_length_b 9.2654
_cell_length_c 13.6701
_cell_angle_alpha 90.00
_cell_angle_beta 90.00
_cell_angle_gamma 120.00
loop_
_atom_site_label
_atom_site_fract_x
_atom_site_fract_y
_atom_site_fract_z
Li1 0.0000 0.0000 0.0988
Np1 0.0000 0.0000 0.3462
Al1 0.0000 0.2987 0.0000
Al2 0.0000 0.5000 0.5000
Al3 0.0067 0.5033 0.1506
```

## Properties
- Spin magnetization: 8.4 μB/f.u.
- Energy of formation: -79 kJ/mol of formula units

=====

First-principles (PBE-GGA) data for an optimized crystal structure of LiNp2AlO8, as listed in Alexandria via LeMat-Bulk.

The structure in CIF format:
```
data_LiNp2AlO8
_chemical_formula_sum 'Li2 Np4 Al2 O16'
_symmetry_space_group_name_H-M 'C m m m'
_symmetry_Int_Tables_number 65
_symmetry_space_group_name_Hall '-C 2 2'
_cell_length_a 6.483
_cell_length_b 6.513
_cell_length_c 6.856
_cell_angle_alpha 90.00
_cell_angle_beta 90.00
_cell_angle_gamma 90.00
loop_
_atom_site_label
_atom_site_fract_x
_atom_site_fract_y
_atom_site_fract_z
Li1 0.000 0.000 0.000
Np1 0.000 0.500 0.251
Al1 0.000 0.000 0.500
O1 0.000 0.292 0.500
O2 0.000 0.309 0.000
O3 0.199 0.000 0.279
```

## Properties
- Spin magnetization: 2.0 μB/f.u.
- Formation energy without anion corrections: -3078 kJ/mol of formula units

=====

First-principles (PBE-GGA) data for an optimized crystal structure of Li2NpAl3O8, as listed in Alexandria via LeMat-Bulk.

The structure in CIF format:
```
data_Li2NpAl3O8
_chemical_formula_sum 'Li6 Np3 Al9 O24'
_symmetry_space_group_name_H-M 'R 3 m'
_symmetry_Int_Tables_number 160
_symmetry_space_group_name_Hall 'R 3 -2"'
_cell_length_a 5.9730
_cell_length_b 5.9730
_cell_length_c 13.9945
_cell_angle_alpha 90.00
_cell_angle_beta 90.00
_cell_angle_gamma 120.00
loop_
_atom_site_label
_atom_site_fract_x
_atom_site_fract_y
_atom_site_fract_z
Li1 0.0000 0.0000 0.0000
Li2 0.0000 0.0000 0.3650
Np1 0.0000 0.0000 0.7871
Al1 0.0103 0.5051 0.8766
O1 0.0000 0.0000 0.1329
O2 0.0000 0.0000 0.6221
O3 0.0574 0.5287 0.1312
O4 0.1686 0.3372 0.9325
```

## Properties
- Spin magnetization: 2.0 μB/f.u.
- Formation energy without anion corrections: -3504 kJ/mol of formula units

=====

First-principles (PBE-GGA) data for an optimized crystal structure of LiNpAlO4, as listed in Alexandria via LeMat-Bulk.

The structure in CIF format:
```
data_LiNpAlO4
_chemical_formula_sum 'Li4 Np4 Al4 O16'
_symmetry_space_group_name_H-M 'I m m a'
_symmetry_Int_Tables_number 74
_symmetry_space_group_name_Hall '-I 2b 2'
_cell_length_a 5.879
_cell_length_b 7.003
_cell_length_c 8.712
_cell_angle_alpha 90.00
_cell_angle_beta 90.00
_cell_angle_gamma 90.00
loop_
_atom_site_label
_atom_site_fract_x
_atom_site_fract_y
_atom_site_fract_z
Li1 0.000 0.250 0.105
Np1 0.000 0.000 0.500
Al1 0.250 0.250 0.750
O1 0.000 0.064 0.749
O2 0.237 0.250 0.521
```

## Properties
- Spin magnetization: 3.0 μB/f.u.
- Formation energy without anion corrections: -1787 kJ/mol of formula units